ZrFe4Re after structural relaxation, computed with PBE.

The structure in POSCAR format:
```
ZrFe4Re
1.0
0.000 3.427 3.427
3.427 0.000 3.427
3.427 3.427 0.000
Zr Fe Re
1 4 1
direct
0.000 0.000 0.000
0.376 0.376 0.376
0.376 0.376 0.871
0.376 0.871 0.376
0.871 0.376 0.376
0.750 0.750 0.750
```

Output
E_form ... -0.07 eV/atom
Density of states at the Fermi level ... 1.351 states/eV/atom
Symmetry ... No. 216
E ... -55.2 eV per formula unit
Volume ... 80.51 Å³/cell



Zr2Fe2Re after structural relaxation, computed with PBE.

The structure in POSCAR format:
```
Zr2Fe2Re
1.0
6.211 0.000 0.000
0.000 6.211 0.000
0.000 0.000 4.249
Zr Fe Re
4 4 2
direct
0.182 0.318 0.000
0.318 0.818 0.000
0.682 0.182 0.000
0.818 0.682 0.000
0.131 0.631 0.500
0.369 0.131 0.500
0.631 0.869 0.500
0.869 0.369 0.500
0.000 0.000 0.500
0.500 0.500 0.500
```

Output
E_form ... -0.07 eV/atom
Density of states at the Fermi level ... 1.200 states/eV/atom
Symmetry ... No. 127
E ... -46.8 eV per formula unit
Volume ... 163.89 Å³/cell



ZrFeRe2 after structural relaxation, computed with PBE.

The structure in POSCAR format:
```
ZrFeRe2
1.0
0.000 3.155 3.155
3.155 0.000 3.155
3.155 3.155 0.000
Zr Fe Re
1 1 2
direct
0.000 0.000 0.000
0.500 0.500 0.500
0.250 0.250 0.250
0.750 0.750 0.750
```

Output
E_form ... 0.21 eV/atom
Density of states at the Fermi level ... 0.993 states/eV/atom
Symmetry ... No. 225
Energy above the lowest structure with this stoichiometry ... 231 meV/atom
E ... -41.1 eV per formula unit
Volume ... 62.83 Å³/cell



ZrFeRe2 after structural relaxation, computed with PBE.

The structure in POSCAR format:
```
ZrFeRe2
1.0
3.171 0.000 0.000
0.000 4.369 0.000
0.000 0.000 4.528
Zr Fe Re
1 1 2
direct
0.000 0.000 0.000
0.500 0.500 0.000
0.000 0.500 0.500
0.500 0.000 0.500
```

Output
E_form ... 0.00 eV/atom
Density of states at the Fermi level ... 0.737 states/eV/atom
Symmetry ... No. 47
Energy above the lowest structure with this stoichiometry ... 17 meV/atom
E ... -41.9 eV per formula unit
Volume ... 62.73 Å³/cell



Fe5Rh after structural relaxation, computed with PBE.

The structure in POSCAR format:
```
Fe5Rh
1.0
2.891 0.000 0.000
0.000 2.891 0.000
0.000 0.000 8.829
Fe Rh
5 1
direct
0.000 0.000 0.000
0.000 0.000 0.321
0.000 0.000 0.679
0.500 0.500 0.160
0.500 0.500 0.840
0.500 0.500 0.500
```

Output
E_form ... -0.02 eV/atom
Density of states at the Fermi level ... 0.726 states/eV/atom
Symmetry ... No. 123
Energy above the lowest structure with this stoichiometry ... 1 meV/atom
E ... -49.8 eV per formula unit
Volume ... 73.82 Å³/cell



FeRh3 after structural relaxation, computed with PBE.

The structure in POSCAR format:
```
FeRh3
1.0
4.849 0.000 0.000
0.000 4.849 0.000
0.000 0.000 4.849
Fe Rh
2 6
direct
0.000 0.000 0.000
0.500 0.500 0.500
0.000 0.250 0.500
0.000 0.750 0.500
0.250 0.500 0.000
0.500 0.000 0.250
0.500 0.000 0.750
0.750 0.500 0.000
```

Output
E_form ... 0.22 eV/atom
Density of states at the Fermi level ... 1.413 states/eV/atom
Symmetry ... No. 223
E ... -29.7 eV per formula unit
Volume ... 114.05 Å³/cell



FeRh2 after structural relaxation, computed with PBE.

The structure in POSCAR format:
```
FeRh2
1.0
4.612 0.000 0.000
0.000 2.710 0.000
-0.004 0.000 6.537
Fe Rh
2 4
direct
0.084 0.250 0.165
0.916 0.750 0.835
0.248 0.750 0.497
0.408 0.250 0.839
0.592 0.750 0.161
0.752 0.250 0.503
```

Output
E_form ... 0.00 eV/atom
Density of states at the Fermi level ... 1.379 states/eV/atom
Symmetry ... No. 11
E ... -23.2 eV per formula unit
Volume ... 81.70 Å³/cell



FeRh2 after structural relaxation, computed with PBE.

The structure in POSCAR format:
```
FeRh2
1.0
2.212 -6.566 0.000
2.212 6.566 0.000
0.000 0.000 2.875
Fe Rh
2 4
direct
0.160 0.840 0.000
0.840 0.160 0.000
0.000 0.000 0.500
0.322 0.678 0.500
0.500 0.500 0.000
0.678 0.322 0.500
```

Output
E_form ... 0.08 eV/atom
Density of states at the Fermi level ... 1.314 states/eV/atom
Symmetry ... No. 65
E ... -22.9 eV per formula unit
Volume ... 83.49 Å³/cell



Fe5Rh3 after structural relaxation, computed with PBE.

The structure in POSCAR format:
```
Fe5Rh3
1.0
2.978 -4.234 0.000
2.978 4.234 0.000
0.000 0.000 4.209
Fe Rh
5 3
direct
0.000 0.000 0.000
0.000 0.500 0.000
0.241 0.241 0.500
0.500 0.000 0.000
0.759 0.759 0.500
0.251 0.749 0.500
0.500 0.500 0.000
0.749 0.251 0.500
```

Output
E_form ... -0.05 eV/atom
Density of states at the Fermi level ... 0.472 states/eV/atom
Symmetry ... No. 65
Energy above the lowest structure with this stoichiometry ... 0 meV/atom
E ... -64.7 eV per formula unit
Volume ... 106.15 Å³/cell



FeRh2 after structural relaxation, computed with PBE.

The structure in POSCAR format:
```
FeRh2
1.0
0.000 3.579 3.579
3.579 0.000 3.579
3.579 3.579 0.000
Fe Rh
2 4
direct
0.125 0.125 0.125
0.875 0.875 0.875
0.000 0.500 0.500
0.500 0.000 0.500
0.500 0.500 0.000
0.500 0.500 0.500
```

Output
E_form ... 0.38 eV/atom
Density of states at the Fermi level ... 1.256 states/eV/atom
Symmetry ... No. 227
E ... -22.0 eV per formula unit
Volume ... 91.68 Å³/cell



FeRh after structural relaxation, computed with PBE.

The structure in POSCAR format:
```
FeRh
1.0
1.351 0.780 8.409
-1.351 0.780 8.409
0.000 -1.561 8.409
Fe Rh
2 2
direct
0.127 0.127 0.127
0.873 0.873 0.873
0.379 0.379 0.379
0.621 0.621 0.621
```

Output
E_form ... 0.06 eV/atom
Density of states at the Fermi level ... 1.442 states/eV/atom
Symmetry ... No. 166
E ... -15.7 eV per formula unit
Volume ... 53.20 Å³/cell



FeRh2 after structural relaxation, computed with PBE.

The structure in POSCAR format:
```
FeRh2
1.0
4.902 -1.352 0.000
4.902 1.352 0.000
-1.606 0.000 6.181
Fe Rh
2 4
direct
0.000 0.000 0.000
0.663 0.663 0.319
0.056 0.056 0.604
0.333 0.333 0.661
0.389 0.389 0.270
0.718 0.718 0.943
```

Output
E_form ... -0.02 eV/atom
Density of states at the Fermi level ... 1.155 states/eV/atom
Symmetry ... No. 8
E ... -23.2 eV per formula unit
Volume ... 81.91 Å³/cell



FeRh4 after structural relaxation, computed with PBE.

The structure in POSCAR format:
```
FeRh4
1.0
4.368 0.000 0.000
0.000 4.368 0.000
0.000 0.000 4.368
Fe Rh
1 4
direct
0.000 0.000 0.000
0.000 0.000 0.500
0.000 0.500 0.000
0.500 0.000 0.000
0.500 0.500 0.500
```

Output
E_form ... 1.20 eV/atom
Density of states at the Fermi level ... 1.811 states/eV/atom
Symmetry ... No. 221
Energy above the lowest structure with this stoichiometry ... 1218 meV/atom
E ... -31.8 eV per formula unit
Volume ... 83.35 Å³/cell



Fe5Rh3 after structural relaxation, computed with PBE.

The structure in POSCAR format:
```
Fe5Rh3
1.0
4.773 0.000 0.000
2.375 6.598 0.000
1.995 -0.002 6.891
Fe Rh
10 6
direct
0.000 0.000 0.000
0.003 0.322 0.198
0.058 0.497 0.510
0.235 0.110 0.546
0.275 0.496 0.890
0.484 0.110 0.854
0.504 0.322 0.202
0.510 0.654 0.382
0.668 0.654 0.017
0.827 0.000 0.400
0.072 0.688 0.200
0.424 0.979 0.200
0.542 0.745 0.700
0.617 0.332 0.556
0.880 0.332 0.844
0.997 0.836 0.700
```

Output
E_form ... 0.14 eV/atom
Density of states at the Fermi level ... 1.196 states/eV/atom
Symmetry ... No. 1
Energy above the lowest structure with this stoichiometry ... 181 meV/atom
E ... -63.3 eV per formula unit
Volume ... 217.03 Å³/cell



Fe3Rh2 after structural relaxation, computed with PBE.

The structure in POSCAR format:
```
Fe3Rh2
1.0
-1.434 1.434 7.829
1.434 -1.434 7.829
1.434 1.434 -7.829
Fe Rh
3 2
direct
0.000 0.000 0.000
0.410 0.410 0.000
0.590 0.590 0.000
0.189 0.189 0.000
0.811 0.811 0.000
```

Output
E_form ... 0.01 eV/atom
Density of states at the Fermi level ... 1.233 states/eV/atom
Symmetry ... No. 139
Energy above the lowest structure with this stoichiometry ... 48 meV/atom
E ... -40.0 eV per formula unit
Volume ... 64.35 Å³/cell



Fe3Rh8 after structural relaxation, computed with PBE.

The structure in POSCAR format:
```
Fe3Rh8
1.0
5.742 -1.359 0.000
5.742 1.359 0.000
-5.357 0.000 9.670
Fe Rh
3 8
direct
0.000 0.000 0.000
0.091 0.091 0.638
0.909 0.909 0.362
0.184 0.184 0.275
0.275 0.275 0.909
0.370 0.370 0.545
0.455 0.455 0.182
0.545 0.545 0.818
0.630 0.630 0.455
0.725 0.725 0.091
0.816 0.816 0.725
```

Output
E_form ... -0.01 eV/atom
Density of states at the Fermi level ... 1.338 states/eV/atom
Symmetry ... No. 12
E ... -84.3 eV per formula unit
Volume ... 150.89 Å³/cell



FeRh3 after structural relaxation, computed with PBE.

The structure in POSCAR format:
```
FeRh3
1.0
5.349 0.000 0.000
-2.675 4.633 0.000
0.000 0.000 4.292
Fe Rh
2 6
direct
0.333 0.667 0.250
0.667 0.333 0.750
0.170 0.339 0.750
0.170 0.830 0.750
0.339 0.170 0.250
0.661 0.830 0.750
0.830 0.170 0.250
0.830 0.661 0.250
```

Output
E_form ... 0.09 eV/atom
Density of states at the Fermi level ... 1.948 states/eV/atom
Symmetry ... No. 194
E ... -30.1 eV per formula unit
Volume ... 106.36 Å³/cell



Fe5Rh after structural relaxation, computed with PBE.

The structure in POSCAR format:
```
Fe5Rh
1.0
2.663 0.000 0.000
-1.332 2.306 0.000
0.000 0.000 12.297
Fe Rh
5 1
direct
0.000 0.000 0.000
0.333 0.667 0.326
0.333 0.667 0.838
0.667 0.333 0.162
0.667 0.333 0.674
0.000 0.000 0.500
```

Output
E_form ... 0.11 eV/atom
Density of states at the Fermi level ... 1.191 states/eV/atom
Symmetry ... No. 164
Energy above the lowest structure with this stoichiometry ... 131 meV/atom
E ... -49.0 eV per formula unit
Volume ... 75.52 Å³/cell



Fe3Rh after structural relaxation, computed with PBE.

The structure in POSCAR format:
```
Fe3Rh
1.0
2.586 0.000 0.000
0.000 4.079 0.000
0.000 0.000 4.518
Fe Rh
3 1
direct
0.000 0.000 0.000
0.000 0.500 0.310
0.500 0.000 0.479
0.500 0.500 0.811
```

Output
E_form ... 0.08 eV/atom
Density of states at the Fermi level ... 1.228 states/eV/atom
Symmetry ... No. 25
E ... -32.4 eV per formula unit
Volume ... 47.65 Å³/cell



FeRh4 after structural relaxation, computed with PBE.

The structure in POSCAR format:
```
FeRh4
1.0
2.161 1.248 4.393
-2.161 1.248 4.393
0.000 -2.495 4.393
Fe Rh
1 4
direct
0.000 0.000 0.000
0.187 0.187 0.187
0.392 0.392 0.392
0.608 0.608 0.608
0.813 0.813 0.813
```

Output
E_form ... 0.18 eV/atom
Density of states at the Fermi level ... 1.678 states/eV/atom
Symmetry ... No. 166
Energy above the lowest structure with this stoichiometry ... 196 meV/atom
E ... -37.0 eV per formula unit
Volume ... 71.05 Å³/cell